[1]
Below is HfCoSCl2 after structural relaxation, with properties calculated at the PBE level.

Cell: 4.379 4.379 4.600 Å, 90.00 90.00 90.00°
Fractional coordinates of all 5 atoms:
Hf: 0.000 0.000 0.000
Co: 0.500 0.500 0.500
S: 0.500 0.500 0.000
Cl: 0.000 0.500 0.500
Cl: 0.500 0.000 0.500

## Properties
Space-group type = P4/mmm (123)
ΔE_f (raw) = 0.13 eV per formula unit
Total DFT energy (no corrections) = -4.95 eV per atom
Relative energy among the computed polymorphs = 6.47 kcal/mol of atoms

***

[2]
Below is HfCoSCl2 after structural relaxation, with properties calculated at the PBE level.

Cell: 4.959 4.959 4.942 Å, 90.00 90.00 90.00°
Fractional coordinates of all 5 atoms:
Hf: 0.000 0.000 0.000
Co: 0.500 0.500 0.500
S: 0.000 0.000 0.500
Cl: 0.000 0.500 0.000
Cl: 0.500 0.000 0.000

## Properties
Space-group type = P4/mmm (123)
ΔE_f (raw) = -1.27 eV per formula unit
Total DFT energy (no corrections) = -5.23 eV per atom
Relative energy among the computed polymorphs = 0.00 kcal/mol of atoms

***

[3]
Below is HfScCo2Cl after structural relaxation, with properties calculated at the PBE level.

Cell: 4.587 4.587 4.806 Å, 90.00 90.00 90.00°
Fractional coordinates of all 5 atoms:
Hf: 0.000 0.000 0.000
Sc: 0.500 0.500 0.500
Co: 0.000 0.500 0.000
Co: 0.500 0.000 0.000
Cl: 0.000 0.000 0.500

## Properties
Space-group type = P4/mmm (123)
ΔE_f (raw) = 2.46 eV per formula unit
Total DFT energy (no corrections) = -5.98 eV per atom

***

[4]
Below is HfCoSi2Cl after structural relaxation, with properties calculated at the PBE level.

Cell: 4.305 4.305 4.777 Å, 90.00 90.00 90.00°
Fractional coordinates of all 5 atoms:
Hf: 0.000 0.000 0.000
Co: 0.500 0.500 0.500
Si: 0.000 0.500 0.500
Si: 0.500 0.000 0.500
Cl: 0.500 0.500 0.000

## Properties
Space-group type = P4/mmm (123)
ΔE_f (raw) = 1.97 eV per formula unit
Total DFT energy (no corrections) = -5.56 eV per atom